# 1
First-principles (PBE-GGA) data for a relaxed ZrIn2Ni crystal, as listed in Alexandria.

Output
Calculated volume, Å³ per atom: 19.38
Energy relative to the elements, eV/atom: 0.01
Magnetic moment, Bohr magnetons per cell: 0.0
Calculated density, g/cm³: 8.129

```
4
Lattice="0.000 3.384 3.384 3.384 0.000 3.384 3.384 3.384 0.000" Properties=species:S:1:pos:R:3 pbc="T T T"
Ni 0.000 0.000 0.000
In 1.692 1.692 1.692
In 5.077 5.077 5.077
Zr 3.384 3.384 3.384
```

# 2
First-principles (PBE-GGA) data for a relaxed ZrIn2Ni crystal, as listed in Alexandria.

Output
Calculated volume, Å³ per atom: 20.08
Energy relative to the elements, eV/atom: 0.00
Magnetic moment, Bohr magnetons per cell: 0.0
Calculated density, g/cm³: 7.846

```
4
Lattice="9.244 -0.009 -0.005 8.693 3.143 -0.005 8.693 1.519 2.752" Properties=species:S:1:pos:R:3 pbc="T T T"
Ni 6.657 1.163 0.685
In 26.320 4.598 2.709
In 13.625 2.380 1.402
Zr 19.972 3.489 2.056
```

# 3
First-principles (PBE-GGA) data for a relaxed ZrIn2Ni2 crystal, as listed in Alexandria.

Output
Calculated volume, Å³ per atom: 17.21
Polymorph energy (0 for the lowest one), meV/atom: 0
Energy relative to the elements, eV/atom: -0.16
Magnetic moment, Bohr magnetons per cell: 0.0
Calculated density, g/cm³: 8.456

```
10
Lattice="-5.526 2.515 4.357 3.769 -2.219 6.060 1.375 2.754 0.154" Properties=species:S:1:pos:R:3 pbc="T T T"
In 0.159 1.197 8.034
In -2.664 2.734 5.745
In 2.282 0.316 4.826
In -0.542 1.853 2.536
Ni 0.684 -0.498 2.810
Ni -2.990 1.296 3.524
Ni -2.441 0.794 7.607
Ni 1.233 -1.000 6.893
Zr -0.879 0.148 5.209
Zr 0.000 0.000 0.000
```

# 4
First-principles (PBE-GGA) data for a relaxed ZrIn2Ni crystal, as listed in Alexandria.

Output
Calculated volume, Å³ per atom: 19.98
Energy relative to the elements, eV/atom: 0.01
Magnetic moment, Bohr magnetons per cell: 0.0
Calculated density, g/cm³: 7.886

```
4
Lattice="-4.061 0.942 3.378 4.492 -1.469 2.540 0.831 2.882 0.196" Properties=species:S:1:pos:R:3 pbc="T T T"
In 0.216 -0.264 2.959
In 0.000 0.000 0.000
Zr 2.662 0.706 1.368
Ni -1.615 1.912 1.787
```